Version P
An optimized crystal structure of PmPrCu2, computed with PBE.

Geometry as extended XYZ:
```
4
Lattice="3.9478 0.0000 -0.0614 0.0000 4.5422 0.0000 -1.9867 0.0000 5.3349" Properties=species:S:1:pos:R:3 pbc="T T T"
Pr 0.8972 0.0000 5.2384
Pm 0.9050 2.2711 2.2250
Cu -1.0572 2.2711 4.4391
Cu -1.0889 0.0000 3.0495
```

Output
Space-group type: Pm
Size of the total moment, μB/atom: 0.00



Version Q
An optimized crystal structure of PmPrCu2, computed with PBE.

Geometry as extended XYZ:
```
4
Lattice="-0.5087 -3.5440 3.6050 3.9400 -1.1687 2.9875 -0.0391 1.3468 4.8989" Properties=species:S:1:pos:R:3 pbc="T T T"
Pm 1.6961 -1.6830 5.7457
Cu 2.5442 -2.5244 8.6185
Cu 0.8481 -0.8415 2.8728
Pr 0.0000 0.0000 0.0000
```

Output
Space-group type: Fm-3m
Size of the total moment, μB/atom: 0.00



Which one is the least stable? From the structures above, version Q.